DFT (GGA-PBEsol) results for an optimized crystal structure of La3BWO9.

abc: 5.464 8.763 8.763
angles: 120.00 90.00 90.00
Sites, in units of the cell vectors:
O: 0.021 0.364 0.514
O: 0.974 0.833 0.330
O: 0.974 0.670 0.503
O: 0.021 0.486 0.850
O: 0.626 0.869 0.045
O: 0.521 0.636 0.486
La: 0.763 0.279 0.909
O: 0.974 0.497 0.167
La: 0.263 0.909 0.630
O: 0.474 0.167 0.670
O: 0.521 0.850 0.364
W: 0.749 0.667 0.333
La: 0.763 0.630 0.721
La: 0.263 0.721 0.091
La: 0.263 0.370 0.279
O: 0.126 0.045 0.176
O: 0.126 0.131 0.955
La: 0.763 0.091 0.370
B: 0.120 0.000 0.000
W: 0.249 0.333 0.667
O: 0.474 0.330 0.497
O: 0.021 0.150 0.636
B: 0.620 0.000 0.000
O: 0.626 0.176 0.131
O: 0.521 0.514 0.150
O: 0.126 0.824 0.869
O: 0.626 0.955 0.824
O: 0.474 0.503 0.833

The density of states at the Fermi level comes out at 0.000 states/eV/atom. For the total energy, the calculation gives -0.3344 Ha/atom. The uncorrected formation energy comes out at -3.091 eV/atom. As for the total moment: 0.000 μB per formula unit.